No. 1
Hf3NbBr | PBE | optimized geometry

Results
Density of states at the Fermi level = 5.52 states/eV per cell
Theoretical density = 10.2 g/cm3
Space-group type = No. 221
Energy = -37.98 eV per formula unit
Formation energy from raw total energies = 724 meV/atom
Spin magnetization = 0.000 μB per formula unit

Unit cell a=4.8632 b=4.8632 c=4.8632 alpha=90.00 beta=90.00 gamma=90.00
Closest atoms and distances in Å follow each position.
Element x y z (fractional)
Hf 0.0000 0.5000 0.0000  2 Br 2.43
Br 0.0000 0.0000 0.0000  6 Hf 2.43
Hf 0.0000 0.0000 0.5000  2 Br 2.43
Nb 0.5000 0.5000 0.5000  12 Hf 3.44
Hf 0.5000 0.0000 0.0000  2 Br 2.43

---

No. 2
AcCrS3 | PBE | optimized geometry

Results
Density of states at the Fermi level = 3.29 states/eV per cell
Theoretical density = 5.6 g/cm3
Space-group type = No. 14
Energy = -32.95 eV per formula unit
Formation energy from raw total energies = -1367 meV/atom
Spin magnetization = 3.000 μB per formula unit

Unit cell a=6.1940 b=7.7600 c=9.2673 alpha=97.71 beta=90.00 gamma=90.00
Closest atoms and distances in Å follow each position.
Element x y z (fractional)
S 0.0607 0.1807 0.0654  2 Cr 2.35-2.36
Ac 0.7383 0.6579 0.6677  5 S 2.86-3.08
S 0.5757 0.0531 0.1644  3 Cr 2.41-2.63
Cr 0.2553 0.9171 0.5735  6 S 2.35-2.63
S 0.4243 0.9469 0.8356  3 Cr 2.41-2.63
S 0.7828 0.3947 0.3889  1 Cr 2.50
S 0.2172 0.6053 0.6111  1 Cr 2.50
S 0.5607 0.8193 0.4346  2 Cr 2.35-2.36
Cr 0.7447 0.0829 0.4265  6 S 2.35-2.63
Cr 0.7553 0.0829 0.9265  6 S 2.35-2.63
S 0.2828 0.6053 0.1111  1 Cr 2.50
S 0.9243 0.0531 0.6644  3 Cr 2.41-2.63
Ac 0.2383 0.3421 0.8323  5 S 2.86-3.08
Ac 0.7617 0.6579 0.1677  5 S 2.86-3.08
S 0.7172 0.3947 0.8889  1 Cr 2.50
Cr 0.2447 0.9171 0.0735  6 S 2.35-2.63
Ac 0.2617 0.3421 0.3323  5 S 2.86-3.08
S 0.0757 0.9469 0.3356  3 Cr 2.41-2.63
S 0.4393 0.1807 0.5654  2 Cr 2.35-2.36
S 0.9393 0.8193 0.9346  2 Cr 2.35-2.36

---

No. 3
AgBiH2 | PBE | optimized geometry

Results
Density of states at the Fermi level = 1.51 states/eV per cell
Theoretical density = 9.4 g/cm3
Space-group type = No. 225
Energy = -10.44 eV per formula unit
Spin magnetization = 0.000 μB per formula unit

Unit cell a=4.2986 b=4.2986 c=4.2986 alpha=60.00 beta=60.00 gamma=60.00
Closest atoms and distances in Å follow each position.
Element x y z (fractional)
H 0.2500 0.2500 0.2500  4 Bi 2.63, 4 Ag 2.63
H 0.7500 0.7500 0.7500  4 Ag 2.63, 4 Bi 2.63
Ag 0.0000 0.0000 0.0000  8 H 2.63
Bi 0.5000 0.5000 0.5000  8 H 2.63

---

No. 4
Sc2MnCd | PBE | optimized geometry

Results
Density of states at the Fermi level = 4.34 states/eV per cell
Theoretical density = 5.2 g/cm3
Space-group type = No. 8
Energy = -22.74 eV per formula unit
Calculated formation energy = 0.00 eV per atom
Spin magnetization = 2.455 μB per formula unit

Unit cell a=5.5389 b=5.5389 c=5.0744 alpha=72.61 beta=72.61 gamma=33.71
Closest atoms and distances in Å follow each position.
Element x y z (fractional)
Sc 0.2358 0.2358 0.2867  4 Mn 2.90-3.14, 3 Cd 3.02-3.04, 2 Sc 3.21
Cd 0.4792 0.4792 0.4747  2 Mn 2.86, 7 Sc 3.01-3.06
Sc 0.0223 0.0223 0.9415  3 Mn 2.91-3.06, 4 Cd 3.01-3.06, 2 Sc 3.21
Mn 0.7627 0.7627 0.7971  2 Cd 2.86, 7 Sc 2.90-3.14

---

No. 5
Pr2CoRh | PBE | optimized geometry

Results
Density of states at the Fermi level = 2.01 states/eV per cell
Theoretical density = 8.3 g/cm3
Space-group type = No. 225
Energy = -24.98 eV per formula unit
Calculated formation energy = -0.24 eV per atom
Spin magnetization = 0.622 μB per formula unit

Unit cell a=5.0081 b=5.0081 c=5.0081 alpha=60.00 beta=60.00 gamma=60.00
Closest atoms and distances in Å follow each position.
Element x y z (fractional)
Pr 0.7500 0.7500 0.7500  4 Rh 3.07, 4 Co 3.07
Rh 0.5000 0.5000 0.5000  8 Pr 3.07
Pr 0.2500 0.2500 0.2500  4 Rh 3.07, 4 Co 3.07
Co 0.0000 0.0000 0.0000  8 Pr 3.07

---

No. 6
Nd2SiBr3 | PBE | optimized geometry

Results
Density of states at the Fermi level = 0.56 states/eV per cell
Theoretical density = 4.5 g/cm3
Space-group type = No. 12
Energy = -28.10 eV per formula unit
Formation energy from raw total energies = -1354 meV/atom
Spin magnetization = 0.000 μB per formula unit

Unit cell a=4.2131 b=9.8646 c=10.4930 alpha=78.78 beta=78.42 gamma=77.67
Closest atoms and distances in Å follow each position.
Element x y z (fractional)
Br 0.0448 0.1405 0.7699  3 Nd 3.00-3.03
Nd 0.6136 0.2141 0.5587  2 Si 2.88-3.05, 4 Br 2.98-3.03
Si 0.5559 0.5021 0.3860  1 Si 2.34
Br 0.6732 0.6755 0.9781  3 Nd 3.02-3.07
Si 0.4441 0.4979 0.6140  1 Si 2.34
Nd 0.1281 0.5595 0.1844  2 Si 2.95, 4 Br 3.00-3.07
Br 0.2438 0.1308 0.3817  3 Nd 2.98-3.28
Br 0.3268 0.3245 0.0219  3 Nd 3.02-3.07
Nd 0.8719 0.4405 0.8156  2 Si 2.95, 4 Br 3.00-3.07
Br 0.9552 0.8595 0.2301  3 Nd 3.00-3.03
Nd 0.3864 0.7859 0.4413  2 Si 2.88-3.05, 4 Br 2.98-3.03
Br 0.7562 0.8692 0.6183  3 Nd 2.98-3.28

---

No. 7
RbNa2CdAu | PBE | optimized geometry

Results
Density of states at the Fermi level = 3.86 states/eV per cell
Theoretical density = 3.5 g/cm3
Space-group type = No. 123
Energy = -7.83 eV per formula unit
Calculated formation energy = -0.01 eV per atom
Spin magnetization = 0.000 μB per formula unit

Unit cell a=5.7045 b=5.7045 c=6.5200 alpha=90.00 beta=90.00 gamma=90.00
Closest atoms and distances in Å follow each position.
Element x y z (fractional)
Rb 0.0000 0.0000 0.5000  2 Au 3.26
Au 0.0000 0.0000 0.0000  4 Na 2.85
Na 0.5000 0.0000 0.0000  2 Au 2.85
Cd 0.5000 0.5000 0.5000  4 Rb 4.03, 8 Na 4.33
Na 0.0000 0.5000 0.0000  2 Au 2.85

---

No. 8
Pr4ZnAg | PBE | optimized geometry

Results
Density of states at the Fermi level = 7.56 states/eV per cell
Theoretical density = 6.8 g/cm3
Space-group type = No. 123
Energy = -24.23 eV per formula unit
Calculated formation energy = -0.16 eV per atom
Spin magnetization = 1.017 μB per formula unit

Unit cell a=3.7554 b=3.7554 c=12.7277 alpha=90.00 beta=90.00 gamma=90.00
Closest atoms and distances in Å follow each position.
Element x y z (fractional)
Pr 0.0000 0.0000 0.3506  4 Ag 3.27
Pr 0.5000 0.5000 0.1423  4 Zn 3.21
Pr 0.0000 0.0000 0.6494  4 Ag 3.27
Zn 0.0000 0.0000 0.0000  8 Pr 3.21
Pr 0.5000 0.5000 0.8577  4 Zn 3.21
Ag 0.5000 0.5000 0.5000  8 Pr 3.27

---

Q: Which of these has the lowest theoretical density?
A: RbNa2CdAu